Record 1
La6Tb3Ho: relaxed, PBE.

Cell lengths 6.0467, 9.7349, 13.4663 Å; angles 90.00, 116.47, 90.00 degrees
Closest atoms and distances in Å follow each position.
Sites, in units of the cell vectors:
La1 0.0923 0.1499 0.0940  4 La 3.51-3.77, 2 Ho 3.54-3.55, 3 Tb 3.59-3.88
La2 0.0923 0.3501 0.5940  4 La 3.51-3.77, 2 Ho 3.54-3.55, 3 Tb 3.59-3.88
La3 0.3157 0.0478 0.7496  2 Tb 3.07-3.24, 1 Ho 3.08
La4 0.3157 0.4522 0.2496  2 Tb 3.07-3.24, 1 Ho 3.08
La5 0.4046 0.1519 0.4064  4 La 3.50-3.77, 4 Tb 3.54-3.90, 1 Ho 3.57
La6 0.4046 0.3481 0.9064  4 La 3.50-3.77, 4 Tb 3.54-3.90, 1 Ho 3.57
La7 0.5954 0.6519 0.0936  4 La 3.50-3.77, 4 Tb 3.54-3.90, 1 Ho 3.57
La8 0.5954 0.8481 0.5936  4 La 3.50-3.77, 4 Tb 3.54-3.90, 1 Ho 3.57
La9 0.6843 0.5478 0.7504  2 Tb 3.07-3.24, 1 Ho 3.08
La10 0.6843 0.9522 0.2504  2 Tb 3.07-3.24, 1 Ho 3.08
La11 0.9077 0.6499 0.4060  4 La 3.51-3.77, 2 Ho 3.54-3.55, 3 Tb 3.59-3.88
La12 0.9077 0.8501 0.9060  4 La 3.51-3.77, 2 Ho 3.54-3.55, 3 Tb 3.59-3.88
Tb1 0.0000 0.0000 0.5000  2 La 3.07
Tb2 0.0000 0.5000 0.0000  2 La 3.07
Tb3 0.2053 0.6979 0.7502  3 La 3.24-3.47
Tb4 0.2053 0.8021 0.2502  3 La 3.24-3.47
Tb5 0.7947 0.1979 0.7498  3 La 3.24-3.47
Tb6 0.7947 0.3021 0.2498  3 La 3.24-3.47
Ho1 0.5000 0.0000 0.0000  2 La 3.08
Ho2 0.5000 0.5000 0.5000  2 La 3.08

The calculation puts the formation enthalpy at 0 K at 0.1803 eV/atom. The density of states at the Fermi level comes out at 25.5 states/eV per cell. The total magnetization is 0.0 Bohr magnetons per cell.


Record 2
Li4CO4: relaxed, PBE.

Cell lengths 4.6459, 5.5280, 7.6836 Å; angles 90.00, 125.97, 90.00 degrees
Closest atoms and distances in Å follow each position.
Sites, in units of the cell vectors:
Li1 0.0000 0.0362 0.0000  3 O 1.87-1.94
Li2 0.0000 0.9638 0.5000  3 O 1.87-1.94
Li3 0.1480 0.4532 0.0888  5 O 2.01-2.15, 1 C 2.23
Li4 0.1480 0.5468 0.5888  5 O 2.01-2.15, 1 C 2.23
Li5 0.5705 0.1696 0.5888  4 O 1.97-2.07
Li6 0.5705 0.8304 0.0888  4 O 1.97-2.07
Li7 0.7695 0.4404 0.2177  3 O 1.96-2.08
Li8 0.7695 0.5596 0.7177  3 O 1.96-2.08
C1 0.3603 0.3032 0.8718  4 O 1.40-1.45
C2 0.3603 0.6968 0.3718  4 O 1.40-1.45
O1 0.0602 0.2210 0.6761  1 C 1.40
O2 0.0602 0.7790 0.1761  1 C 1.40
O3 0.2910 0.4481 0.3976  1 C 1.45
O4 0.2910 0.5519 0.8976  1 C 1.45
O5 0.4274 0.1720 0.0506  1 C 1.42
O6 0.4274 0.8280 0.5506  1 C 1.42
O7 0.6652 0.3008 0.8707  1 C 1.42
O8 0.6652 0.6992 0.3707  1 C 1.42

The density of states at the Fermi level comes out at 0.0 states/eV per cell. The value obtained for the raw formation energy is -1.73 eV per atom. The total magnetization is 0.0 Bohr magnetons per cell.


Record 3
Fe3PN: relaxed, PBE.

Cell lengths 3.7010, 3.7010, 3.7010 Å; angles 90.00, 90.00, 90.00 degrees
Closest atoms and distances in Å follow each position.
Sites, in units of the cell vectors:
Fe1 0.0000 0.0000 0.5000  2 N 1.85
Fe2 0.0000 0.5000 0.0000  2 N 1.85
Fe3 0.5000 0.0000 0.0000  2 N 1.85
P1 0.5000 0.5000 0.5000  12 Fe 2.62
N1 0.0000 0.0000 0.0000  6 Fe 1.85

The polymorph energy (0 for the lowest one) comes out at 0.00 eV per formula unit. The density of states at the Fermi level comes out at 6.8 states/eV per cell. The value obtained for the raw formation energy is 0.09 eV per atom. The total magnetization is 0.0 Bohr magnetons per cell.


Record 4
Sm2PaRh2: relaxed, PBE.

Cell lengths 6.3776, 6.3776, 7.2620 Å; angles 99.51, 99.51, 58.59 degrees
Closest atoms and distances in Å follow each position.
Sites, in units of the cell vectors:
Sm1 0.0400 0.2621 0.1464  4 Rh 3.02-3.16
Sm2 0.2621 0.0400 0.6464  4 Rh 3.02-3.16
Sm3 0.7379 0.9600 0.3536  4 Rh 3.02-3.16
Sm4 0.9600 0.7379 0.8536  4 Rh 3.02-3.16
Pa1 0.4128 0.5872 0.2500  4 Rh 2.58-2.66
Pa2 0.5872 0.4128 0.7500  4 Rh 2.58-2.66
Rh1 0.2179 0.4934 0.4855  2 Pa 2.58-2.66, 1 Rh 2.78
Rh2 0.4934 0.2179 0.9855  2 Pa 2.58-2.66, 1 Rh 2.78
Rh3 0.5066 0.7821 0.0145  2 Pa 2.58-2.66, 1 Rh 2.78
Rh4 0.7821 0.5066 0.5145  2 Pa 2.58-2.66, 1 Rh 2.78

The calculation puts the formation enthalpy at 0 K at -0.6913 eV/atom. The density of states at the Fermi level comes out at 10.3 states/eV per cell. The total magnetization is 0.0 Bohr magnetons per cell.


Record 5
In2AgHg: relaxed, PBE.

Cell lengths 4.9201, 4.9201, 6.4417 Å; angles 99.02, 99.02, 38.99 degrees
Closest atoms and distances in Å follow each position.
Sites, in units of the cell vectors:
In1 0.2423 0.2423 0.2294  3 Ag 2.97-3.01, 3 Hg 3.07-3.17, 2 In 3.28
In2 0.7577 0.7577 0.7706  3 Ag 2.97-3.01, 3 Hg 3.07-3.17, 2 In 3.28
Ag1 0.5000 0.5000 0.0000  6 In 2.97-3.01, 2 Ag 3.28
Hg1 0.0000 0.0000 0.5000  6 In 3.07-3.17, 2 Hg 3.28

The calculation puts the formation enthalpy at 0 K at 0.0301 eV/atom. The density of states at the Fermi level comes out at 1.1 states/eV per cell. The total magnetization is 0.0 Bohr magnetons per cell.


Record 6
RbBTe2Pb: relaxed, PBE.

Cell lengths 5.5285, 5.5285, 4.8381 Å; angles 90.00, 90.00, 90.00 degrees
Closest atoms and distances in Å follow each position.
Sites, in units of the cell vectors:
Rb1 0.0000 0.0000 0.0000  8 Te 3.67, 4 Pb 3.91
B1 0.5000 0.5000 0.5000  2 Pb 2.42
Te1 0.0000 0.5000 0.5000  2 B 2.76
Te2 0.5000 0.0000 0.5000  2 B 2.76
Pb1 0.5000 0.5000 0.0000  2 B 2.42

The density of states at the Fermi level comes out at 2.4 states/eV per cell. The value obtained for the raw formation energy is 0.30 eV per atom. The total magnetization is 0.0 Bohr magnetons per cell.


Record 7
SbP4O12: relaxed, PBE.

Cell lengths 7.2263, 13.0045, 11.7178 Å; angles 90.00, 126.35, 90.00 degrees
Closest atoms and distances in Å follow each position.
Sites, in units of the cell vectors:
Sb1 0.0503 0.2222 0.0230  7 O 2.18-2.42
Sb2 0.0503 0.2778 0.5230  7 O 2.18-2.42
Sb3 0.9497 0.7222 0.4770  7 O 2.18-2.42
Sb4 0.9497 0.7778 0.9770  7 O 2.18-2.42
P1 0.0545 0.0974 0.2881  4 O 1.50-1.62
P2 0.0545 0.4026 0.7881  4 O 1.50-1.62
P3 0.1535 0.6257 0.7990  4 O 1.49-1.61
P4 0.1535 0.8743 0.2990  4 O 1.49-1.61
P5 0.3905 0.6165 0.2667  4 O 1.50-1.61
P6 0.3905 0.8835 0.7667  4 O 1.50-1.61
P7 0.4961 0.6057 0.7435  4 O 1.50-1.62
P8 0.4961 0.8943 0.2435  4 O 1.50-1.62
P9 0.5039 0.1057 0.7565  4 O 1.50-1.62
P10 0.5039 0.3943 0.2565  4 O 1.50-1.62
P11 0.6095 0.1165 0.2333  4 O 1.50-1.61
P12 0.6095 0.3835 0.7333  4 O 1.50-1.61
P13 0.8465 0.1257 0.7010  4 O 1.49-1.61
P14 0.8465 0.3743 0.2010  4 O 1.49-1.61
P15 0.9455 0.5974 0.2119  4 O 1.50-1.62
P16 0.9455 0.9026 0.7119  4 O 1.50-1.62
O1 0.0181 0.1234 0.8613  1 P 1.52
O2 0.0181 0.3766 0.3613  1 P 1.52
O3 0.1261 0.1117 0.1908  1 P 1.52
O4 0.1261 0.3883 0.6908  1 P 1.52
O5 0.1390 0.5161 0.8573  2 P 1.61-1.62
O6 0.1390 0.9839 0.3573  2 P 1.61-1.62
O7 0.1441 0.7098 0.8817  1 P 1.49
O8 0.1441 0.7902 0.3817  1 P 1.49
O9 0.1476 0.1695 0.4105  1 P 1.50
O10 0.1476 0.3305 0.9105  1 P 1.50
O11 0.2204 0.5862 0.3075  2 P 1.61
O12 0.2204 0.9138 0.8075  2 P 1.61
O13 0.2749 0.6916 0.1456  1 P 1.50
O14 0.2749 0.8084 0.6456  1 P 1.50
O15 0.2890 0.1705 0.6965  1 P 1.52
O16 0.2890 0.3295 0.1965  1 P 1.52
O17 0.3073 0.6117 0.5879  1 P 1.50
O18 0.3073 0.8883 0.0879  1 P 1.50
O19 0.3875 0.1516 0.0997  1 P 1.50
O20 0.3875 0.3484 0.5997  1 P 1.50
O21 0.4088 0.6259 0.8400  2 P 1.61
O22 0.4088 0.8741 0.3400  2 P 1.61
O23 0.4147 0.5111 0.2074  2 P 1.59-1.62
O24 0.4147 0.9889 0.7074  2 P 1.59-1.62
O25 0.5853 0.0111 0.2926  2 P 1.59-1.62
O26 0.5853 0.4889 0.7926  2 P 1.59-1.62
O27 0.5912 0.1259 0.6600  2 P 1.61
O28 0.5912 0.3741 0.1600  2 P 1.61
O29 0.6125 0.6516 0.4003  1 P 1.50
O30 0.6125 0.8484 0.9003  1 P 1.50
O31 0.6927 0.1117 0.9121  1 P 1.50
O32 0.6927 0.3883 0.4121  1 P 1.50
O33 0.7110 0.6705 0.8035  1 P 1.52
O34 0.7110 0.8295 0.3035  1 P 1.52
O35 0.7251 0.1916 0.3544  1 P 1.50
O36 0.7251 0.3084 0.8544  1 P 1.50
O37 0.7796 0.0862 0.1925  2 P 1.61
O38 0.7796 0.4138 0.6925  2 P 1.61
O39 0.8524 0.6695 0.0895  1 P 1.50
O40 0.8524 0.8305 0.5895  1 P 1.50
O41 0.8559 0.2098 0.6183  1 P 1.49
O42 0.8559 0.2902 0.1183  1 P 1.49
O43 0.8610 0.0161 0.6427  2 P 1.61-1.62
O44 0.8610 0.4839 0.1427  2 P 1.61-1.62
O45 0.8739 0.6117 0.3092  1 P 1.52
O46 0.8739 0.8883 0.8092  1 P 1.52
O47 0.9819 0.6234 0.6387  1 P 1.52
O48 0.9819 0.8766 0.1387  1 P 1.52

The polymorph energy (0 for the lowest one) comes out at 0.40 eV per formula unit. The density of states at the Fermi level comes out at 23.4 states/eV per cell. The value obtained for the raw formation energy is -1.86 eV per atom. The total magnetization is 0.0 Bohr magnetons per cell.


Record 8
MnCdW2S: relaxed, PBE.

Cell lengths 4.4753, 4.4753, 4.2143 Å; angles 90.00, 90.00, 90.00 degrees
Closest atoms and distances in Å follow each position.
Sites, in units of the cell vectors:
Mn1 0.0000 0.0000 0.0000  2 S 2.11
Cd1 0.5000 0.5000 0.0000  8 W 3.07, 4 Mn 3.16
W1 0.0000 0.5000 0.5000  2 S 2.24
W2 0.5000 0.0000 0.5000  2 S 2.24
S1 0.0000 0.0000 0.5000  2 Mn 2.11, 4 W 2.24

The density of states at the Fermi level comes out at 4.5 states/eV per cell. The value obtained for the raw formation energy is 0.66 eV per atom. The total magnetization is 1.4 Bohr magnetons per cell.